Entry 1:
This record from Alexandria describes a relaxed structure of La2YCu9. The functional is PBE.

SG   R-3m
Crystal system   trigonal
Calculated total energy   -54.9 eV per formula unit

Cell lengths 5.2159, 5.2159, 9.0669 Å; angles 73.28, 73.28, 60.00 degrees
Fractional positions:
La 0.8577 0.8577 0.4268
La 0.1423 0.1423 0.5732
Y 0.0000 0.0000 0.0000
Cu 0.6686 0.6686 0.9943
Cu 0.3314 0.3314 0.0057
Cu 0.5000 0.5000 0.5000
Cu 0.4242 0.4242 0.2358
Cu 0.9158 0.4242 0.2358
Cu 0.4242 0.9158 0.2358
Cu 0.5758 0.5758 0.7642
Cu 0.5758 0.0842 0.7642
Cu 0.0842 0.5758 0.7642


Entry 2:
This record from Alexandria describes a relaxed structure of TeSeBr2Cl. The functional is PBE.

SG   P4/mmm
Polymorph energy (0 for the lowest one)   0.453 eV per atom
Crystal system   tetragonal
Uncorrected formation energy   0.691 eV per atom

Cell lengths 5.1020, 5.1020, 5.5700 Å; angles 90.00, 90.00, 90.00 degrees
Fractional positions:
Te 0.5000 0.5000 0.5000
Se 0.0000 0.0000 0.5000
Br 0.0000 0.5000 0.0000
Br 0.5000 0.0000 0.0000
Cl 0.0000 0.0000 0.0000


Entry 3:
This record from Alexandria describes a relaxed structure of KPIr2. The functional is PBE.

SG   P4mm
Crystal system   tetragonal
Calculated total energy   -23.4 eV per formula unit

Cell lengths 2.9136, 2.9136, 8.4586 Å; angles 90.00, 90.00, 90.00 degrees
Fractional positions:
Ir 0.0000 0.0000 0.9743
Ir 0.5000 0.5000 0.1978
K 0.0000 0.0000 0.5086
P 0.5000 0.5000 0.8193


Entry 4:
This record from Alexandria describes a relaxed structure of CePmNp2P4. The functional is PBE.

SG   P2/m
Crystal system   monoclinic
Calculated total energy   -67.7 eV per formula unit

Cell lengths 4.0322, 6.9901, 6.9922 Å; angles 109.45, 90.00, 90.00 degrees
Fractional positions:
Ce 0.0000 0.0000 0.0000
Pm 0.5000 0.5000 0.0000
Np 0.5000 0.0000 0.5000
Np 0.0000 0.5000 0.5000
P 0.5000 0.2527 0.2620
P 0.5000 0.7473 0.7380
P 0.0000 0.2438 0.7358
P 0.0000 0.7562 0.2642